1.
DyHoMgCr: relaxed, GGA-PBE.

Formation energy in eV per atom: 0.137
Space group: No. 216

Cell lengths 5.178, 5.178, 5.178 Å; angles 60.00, 60.00, 60.00 degrees
Last column: magnetic moment on the atom in μB.
Sites, in units of the cell vectors:
Ho: 0.250 0.250 0.250  -0.06
Cr: 0.500 0.500 0.500  3.42
Mg: 0.000 0.000 0.000  -0.03
Dy: 0.750 0.750 0.750  -0.06

---

2.
DyHo2CrN4: relaxed, GGA-PBE.

Formation energy without anion corrections in eV per formula unit: -10.00
Space group: No. 63

Cell lengths 3.352, 5.910, 11.587 Å; angles 90.00, 90.00, 106.48 degrees
Last column: magnetic moment on the atom in μB.
Sites, in units of the cell vectors:
N: 0.267 0.534 0.369  0.00
N: 0.733 0.466 0.631  0.00
N: 0.435 0.870 0.750  -0.05
N: 0.000 0.000 0.000  0.02
N: 0.565 0.130 0.250  -0.05
N: 0.267 0.534 0.131  0.00
N: 0.000 0.000 0.500  0.02
N: 0.733 0.466 0.869  0.00
Cr: 0.843 0.686 0.750  1.72
Cr: 0.157 0.314 0.250  1.72
Dy: 0.110 0.219 0.750  0.10
Dy: 0.890 0.781 0.250  0.10
Ho: 0.369 0.738 0.957  0.04
Ho: 0.631 0.262 0.457  0.04
Ho: 0.369 0.738 0.543  0.04
Ho: 0.631 0.262 0.043  0.04

---

| no. | VASP energy (eV per atom) |
| --- | --- |
| 1 | -4.963 |
| 2 | -8.335 |